A plane-wave DFT calculation with PBE was carried out for a relaxed structure of SmCdGaSn.

Lattice parameters (Å, degrees): 4.4147 4.5944 4.6774 90.00 90.00 90.00
With the nearest neighbours (Å) after each atom.
Sites, in units of the cell vectors:
Sm  0.0000  0.5000  0.5000  4 Ga 3.19, 4 Sn 3.22, 4 Cd 3.28
Cd  0.0000  0.0000  0.0000  4 Sn 3.19, 4 Ga 3.22, 4 Sm 3.28
Ga  0.5000  0.0000  0.5000  4 Sm 3.19, 4 Cd 3.22, 4 Sn 3.28
Sn  0.5000  0.5000  0.0000  4 Cd 3.19, 4 Sm 3.22, 4 Ga 3.28

- Size of the total moment: 0.00 Bohr magnetons per cell
- ΔH_f (0 K): -0.468 eV per atom
- Space group: Pmmm, No. 47


A plane-wave DFT calculation with PBE was carried out for a relaxed structure of SmCd2GaSn.

Lattice parameters (Å, degrees): 4.8683 8.1739 6.2833 90.00 90.00 107.33
With the nearest neighbours (Å) after each atom.
Sites, in units of the cell vectors:
Sm  0.4112  0.8223  0.7500  3 Ga 3.19-3.32, 4 Sn 3.21, 4 Cd 3.38
Sm  0.5888  0.1777  0.2500  3 Ga 3.19-3.32, 4 Sn 3.21, 4 Cd 3.38
Cd  0.2008  0.4015  0.9996  4 Cd 2.88-3.15, 3 Ga 3.13-3.15, 1 Sn 3.13
Cd  0.7992  0.5985  0.0004  4 Cd 2.88-3.15, 3 Ga 3.13-3.15, 1 Sn 3.13
Cd  0.2008  0.4015  0.5004  4 Cd 2.88-3.15, 3 Ga 3.13-3.15, 1 Sn 3.13
Cd  0.7992  0.5985  0.4996  4 Cd 2.88-3.15, 3 Ga 3.13-3.15, 1 Sn 3.13
Ga  0.6241  0.2482  0.7500  6 Cd 3.13-3.15, 3 Sm 3.19-3.32, 4 Sn 3.48
Ga  0.3759  0.7518  0.2500  6 Cd 3.13-3.15, 3 Sm 3.19-3.32, 4 Sn 3.48
Sn  0.0000  0.0000  0.0000  2 Cd 3.13, 2 Sn 3.14, 4 Sm 3.21, 4 Ga 3.48
Sn  0.0000  0.0000  0.5000  2 Cd 3.13, 2 Sn 3.14, 4 Sm 3.21, 4 Ga 3.48

- Size of the total moment: 0.00 Bohr magnetons per cell
- ΔH_f (0 K): -0.338 eV per atom
- Space group: Cmcm, No. 63